VASP calculation (PBE-GGA) on crystalline YHf2Te2 at its relaxed geometry.

Values from the calculation:
The calculation puts the total energy at -7.04 eV/atom. For the total moment, the calculation gives 0.0 μB/f.u. As for the calculated volume: 257 Å³/cell.

Cell and atoms, written as CIF:
```
data_YHf2Te2
_cell_length_a 4.063
_cell_length_b 4.063
_cell_length_c 15.574
_cell_angle_alpha 90.00
_cell_angle_beta 90.00
_cell_angle_gamma 90.00
_space_group_name_H-M_alt 'I 4/m m m'
_space_group_IT_number 139
_space_group_name_Hall '-I 4 2'
loop_
_atom_site_label
_atom_site_type_symbol
_atom_site_fract_x
_atom_site_fract_y
_atom_site_fract_z
Y1 Y 0.000 0.000 0.000
Hf1 Hf 0.000 0.500 0.250
Te1 Te 0.000 0.000 0.391
```